Arrangement 1

! Nb2V4Mo (PBE-GGA, relaxed); values from VASP
&SYSTEM
  ibrav = 0, nat = 7, ntyp = 3
/
ATOMIC_SPECIES
Nb 92.91 Nb.upf
V 50.94 V.upf
Mo 95.94 Mo.upf
CELL_PARAMETERS angstrom
3.300 -4.111 0.000
3.300 4.111 0.000
0.000 0.000 4.311
ATOMIC_POSITIONS crystal
Nb 0.219 0.781 0.000
Nb 0.781 0.219 0.000
V 0.000 0.500 0.500
V 0.294 0.294 0.000
V 0.500 0.000 0.500
V 0.706 0.706 0.000
Mo 0.500 0.500 0.500
! N(E_F)   8.741 states/eV/f.u.
! Crystal system   orthorhombic
! Symmetry   Cmmm, No. 65

Arrangement 2

! Nb2V4Mo (PBE-GGA, relaxed); values from VASP
&SYSTEM
  ibrav = 0, nat = 7, ntyp = 3
/
ATOMIC_SPECIES
Nb 92.91 Nb.upf
V 50.94 V.upf
Mo 95.94 Mo.upf
CELL_PARAMETERS angstrom
-2.234 2.234 6.462
2.234 -2.234 6.462
2.234 2.234 -6.462
ATOMIC_POSITIONS crystal
Nb 0.127 0.127 0.000
Nb 0.873 0.873 0.000
V 0.000 0.500 0.500
V 0.311 0.311 0.000
V 0.500 0.000 0.500
V 0.689 0.689 0.000
Mo 0.500 0.500 0.000
! N(E_F)   10.715 states/eV/f.u.
! Crystal system   tetragonal
! Symmetry   I4/mmm, No. 139

Most stable: arrangement 1

Arrangement 1

! NbV2Mo (PBE-GGA, relaxed); values from VASP
&SYSTEM
  ibrav = 0, nat = 8, ntyp = 3
/
ATOMIC_SPECIES
Nb 92.91 Nb.upf
V 50.94 V.upf
Mo 95.94 Mo.upf
CELL_PARAMETERS angstrom
4.757 0.000 0.000
0.000 5.153 0.000
-3.354 0.000 5.100
ATOMIC_POSITIONS crystal
Nb 0.000 0.134 0.250
Nb 0.000 0.866 0.750
V 0.253 0.374 0.998
V 0.253 0.626 0.498
V 0.747 0.374 0.502
V 0.747 0.626 0.002
Mo 0.500 0.142 0.750
Mo 0.500 0.858 0.250
! N(E_F)   4.812 states/eV/f.u.
! Crystal system   monoclinic
! Symmetry   P2/c, No. 13

Arrangement 2

! NbV2Mo (PBE-GGA, relaxed); values from VASP
&SYSTEM
  ibrav = 0, nat = 4, ntyp = 3
/
ATOMIC_SPECIES
Nb 92.91 Nb.upf
V 50.94 V.upf
Mo 95.94 Mo.upf
CELL_PARAMETERS angstrom
-1.453 2.233 5.089
1.453 -2.233 5.089
1.453 2.233 -5.089
ATOMIC_POSITIONS crystal
Nb 0.000 0.000 0.000
V 0.256 0.256 0.000
V 0.744 0.744 0.000
Mo 0.500 0.500 0.000
! N(E_F)   5.412 states/eV/f.u.
! Crystal system   orthorhombic
! Symmetry   Immm, No. 71

Most stable: arrangement 1

Arrangement 1

! NbV2Mo (PBE-GGA, relaxed); values from VASP
&SYSTEM
  ibrav = 0, nat = 4, ntyp = 3
/
ATOMIC_SPECIES
Nb 92.91 Nb.upf
V 50.94 V.upf
Mo 95.94 Mo.upf
CELL_PARAMETERS angstrom
0.000 3.121 3.121
3.121 0.000 3.121
3.121 3.121 0.000
ATOMIC_POSITIONS crystal
Nb 0.000 0.000 0.000
V 0.250 0.250 0.250
V 0.750 0.750 0.750
Mo 0.500 0.500 0.500
! N(E_F)   6.521 states/eV/f.u.
! Crystal system   cubic
! Symmetry   Fm-3m, No. 225

Arrangement 2

! NbV2Mo (PBE-GGA, relaxed); values from VASP
&SYSTEM
  ibrav = 0, nat = 8, ntyp = 3
/
ATOMIC_SPECIES
Nb 92.91 Nb.upf
V 50.94 V.upf
Mo 95.94 Mo.upf
CELL_PARAMETERS angstrom
-3.468 3.468 2.701
3.468 -3.468 2.701
3.468 3.468 -2.701
ATOMIC_POSITIONS crystal
Nb 0.000 0.000 0.000
Nb 0.750 0.250 0.500
V 0.139 0.125 0.514
V 0.375 0.861 0.986
V 0.611 0.625 0.486
V 0.875 0.389 0.014
Mo 0.250 0.750 0.500
Mo 0.500 0.500 0.000
! N(E_F)   4.926 states/eV/f.u.
! Crystal system   tetragonal
! Symmetry   I-42d, No. 122

Arrangement 3

! NbV2Mo (PBE-GGA, relaxed); values from VASP
&SYSTEM
  ibrav = 0, nat = 8, ntyp = 3
/
ATOMIC_SPECIES
Nb 92.91 Nb.upf
V 50.94 V.upf
Mo 95.94 Mo.upf
CELL_PARAMETERS angstrom
3.148 0.000 0.000
0.000 4.441 0.000
0.000 0.000 8.755
ATOMIC_POSITIONS crystal
Nb 0.250 0.000 0.139
Nb 0.750 0.000 0.861
V 0.250 0.000 0.608
V 0.250 0.500 0.385
V 0.750 0.000 0.392
V 0.750 0.500 0.615
Mo 0.250 0.500 0.867
Mo 0.750 0.500 0.133
! N(E_F)   4.293 states/eV/f.u.
! Crystal system   orthorhombic
! Symmetry   Pmma, No. 51

Most stable: arrangement 3

Arrangement 1

! NbVMo2 (PBE-GGA, relaxed); values from VASP
&SYSTEM
  ibrav = 0, nat = 4, ntyp = 3
/
ATOMIC_SPECIES
Nb 92.91 Nb.upf
V 50.94 V.upf
Mo 95.94 Mo.upf
CELL_PARAMETERS angstrom
-1.487 2.201 5.174
1.487 -2.201 5.174
1.487 2.201 -5.174
ATOMIC_POSITIONS crystal
Nb 0.000 0.000 0.000
V 0.500 0.500 0.000
Mo 0.261 0.261 0.000
Mo 0.739 0.739 0.000
! N(E_F)   4.808 states/eV/f.u.
! Crystal system   orthorhombic
! Symmetry   Immm, No. 71

Arrangement 2

! NbVMo2 (PBE-GGA, relaxed); values from VASP
&SYSTEM
  ibrav = 0, nat = 4, ntyp = 3
/
ATOMIC_SPECIES
Nb 92.91 Nb.upf
V 50.94 V.upf
Mo 95.94 Mo.upf
CELL_PARAMETERS angstrom
3.159 0.000 0.000
0.000 3.159 0.000
0.000 0.000 6.311
ATOMIC_POSITIONS crystal
Nb 0.000 0.000 0.000
V 0.000 0.000 0.500
Mo 0.500 0.500 0.260
Mo 0.500 0.500 0.740
! N(E_F)   2.592 states/eV/f.u.
! Crystal system   tetragonal
! Symmetry   P4/mmm, No. 123

Arrangement 3

! NbVMo2 (PBE-GGA, relaxed); values from VASP
&SYSTEM
  ibrav = 0, nat = 8, ntyp = 3
/
ATOMIC_SPECIES
Nb 92.91 Nb.upf
V 50.94 V.upf
Mo 95.94 Mo.upf
CELL_PARAMETERS angstrom
-3.533 3.533 2.699
3.533 -3.533 2.699
3.533 3.533 -2.699
ATOMIC_POSITIONS crystal
Nb 0.000 0.000 0.000
Nb 0.750 0.250 0.500
V 0.250 0.750 0.500
V 0.500 0.500 0.000
Mo 0.143 0.625 0.018
Mo 0.375 0.393 0.518
Mo 0.607 0.125 0.982
Mo 0.875 0.857 0.482
! N(E_F)   3.806 states/eV/f.u.
! Crystal system   tetragonal
! Symmetry   I-42d, No. 122

Arrangement 4

! NbVMo2 (PBE-GGA, relaxed); values from VASP
&SYSTEM
  ibrav = 0, nat = 4, ntyp = 3
/
ATOMIC_SPECIES
Nb 92.91 Nb.upf
V 50.94 V.upf
Mo 95.94 Mo.upf
CELL_PARAMETERS angstrom
0.000 3.162 3.162
3.162 0.000 3.162
3.162 3.162 0.000
ATOMIC_POSITIONS crystal
Nb 0.000 0.000 0.000
V 0.500 0.500 0.500
Mo 0.250 0.250 0.250
Mo 0.750 0.750 0.750
! N(E_F)   2.247 states/eV/f.u.
! Crystal system   cubic
! Symmetry   Fm-3m, No. 225

Most stable: arrangement 2